This record from Alexandria describes a PBEsol-optimized structure of BeZn2Te. The functional is SCAN.

E_tot (eV/atom): -16.8698
Uncorrected formation energy (meV per atom): 289
SG: Pm, No. 6

Cell: 3.6247 3.5701 5.7774 Å, 90.00 108.01 90.00°
Last column: nearest neighbours and their distance in Å.
Fractional positions:
1 Be 0.0000 0.0000 0.0000  1 Zn 2.24, 2 Te 2.45
2 Zn 0.4292 0.5000 0.8624  4 Be 2.65-2.66, 4 Zn 2.94-2.95
3 Zn 0.7934 0.0000 0.5914  1 Be 2.24
4 Te 0.1500 0.5000 0.3053  2 Be 2.45